# SrCu2O

SrCu2O after structural relaxation (PBE-GGA, Alexandria via LeMat-Bulk).

Summary:
Calculated density, Mg/m³: 5.0
Electronic total energy, eV per atom: -3.971
Magnetic moment, μB per formula unit: 0.00
Uncorrected formation energy, meV per atom: -263

a b c (Å): 4.5959 4.5959 14.6386
angles (deg): 90.00 90.00 90.00
With the nearest neighbours (Å) after each atom.
Space group I4_1/amd (No. 141, origin choice 2)
Symmetry-distinct sites (fractional):
Sr: 0.0000 0.2500 0.3750 (multiplicity 4)  8 Cu 3.15, 4 O 3.25
Cu: 0.0000 0.0000 0.0000 (multiplicity 8)  2 O 2.16, 2 Cu 2.30
O: 0.0000 0.2500 0.8750 (multiplicity 4)  4 Cu 2.16